Here is an optimized crystal structure of NdTmMoO6 from Alexandria. Energies are from PBE+U.

a b c (Å): 5.5917 5.5917 4.6977
angles (deg): 90.00 90.00 120.00
With the nearest neighbours (Å) after each atom.
Element x y z (fractional)
1 Nd 0.0000 0.0000 0.0000  6 O 2.35
2 Tm 0.6667 0.3333 0.5000  6 O 2.29
3 Mo 0.3333 0.6667 0.0000  6 O 1.96
4 O 0.0326 0.3862 0.2331  1 Mo 1.96
5 O 0.0326 0.6464 0.7669  1 Mo 1.96
6 O 0.3536 0.3862 0.7669  1 Mo 1.96
7 O 0.3536 0.9674 0.2331  1 Mo 1.96
8 O 0.6138 0.6464 0.2331  1 Mo 1.96
9 O 0.6138 0.9674 0.7669  1 Mo 1.96

Computed properties:
Total magnetic moment, Bohr magnetons per cell: 0.000
Electronic total energy, eV per cell: -69.4